[1]
Np3As2Se: relaxed, PBE-GGA.

Formation energy from raw total energies in meV per atom: -830
Total magnetic moment in μB per formula unit: 12.19
DOS(E_F) in states/eV per atom: 4.0031
Crystal system: orthorhombic
Final energy in eV/atom: -9.431

Cell: 7.1201 7.1201 13.0119 Å, 100.50 100.50 109.50°
Atoms (fractional coordinates):
Np  0.6674  0.1698  0.8343
Np  0.5826  0.5802  0.6657
Np  0.9145  0.9169  0.3343
Np  0.0831  0.0855  0.6657
Np  0.4198  0.4174  0.3343
Np  0.3355  0.8331  0.1657
Np  0.5030  0.0030  0.5000
Np  0.7470  0.7470  0.0000
Np  0.9970  0.4970  0.5000
Np  0.1669  0.6645  0.8343
Np  0.8302  0.3326  0.1657
Np  0.2530  0.2530  0.0000
As  0.8338  0.3338  0.6677
As  0.4995  0.9995  0.9990
As  0.0005  0.5005  0.0010
As  0.2495  0.2495  0.4990
As  0.6662  0.1662  0.3323
As  0.5838  0.5838  0.1677
As  0.7505  0.7505  0.5010
As  0.4162  0.4162  0.8323
Se  0.0833  0.0833  0.1666
Se  0.1667  0.6667  0.3334
Se  0.9167  0.9167  0.8334
Se  0.3333  0.8333  0.6666

---

[2]
NpAs2Se6: relaxed, PBE-GGA.

Formation energy from raw total energies in meV per atom: -276
Total magnetic moment in μB per formula unit: 1.47
DOS(E_F) in states/eV per atom: 0.8519
Crystal system: monoclinic
Final energy in eV/atom: -5.070

Cell: 6.5993 9.2447 9.2447 Å, 77.27 91.81 91.81°
Atoms (fractional coordinates):
As  0.1366  0.2258  0.3968
As  0.3634  0.6032  0.7742
As  0.8634  0.7742  0.6032
As  0.6366  0.3968  0.2258
Se  0.0357  0.5332  0.6785
Se  0.5028  0.6437  0.1518
Se  0.0028  0.1518  0.6437
Se  0.0703  0.8266  0.9622
Se  0.4643  0.3215  0.4668
Se  0.5703  0.9622  0.8266
Se  0.4972  0.3563  0.8482
Se  0.9643  0.4668  0.3215
Se  0.9297  0.1734  0.0378
Se  0.9972  0.8482  0.3563
Se  0.4297  0.0378  0.1734
Se  0.5357  0.6785  0.5332
Np  0.7500  0.8984  0.1016
Np  0.2500  0.1016  0.8984

---

[3]
Np4AsSe3: relaxed, PBE-GGA.

Formation energy from raw total energies in meV per atom: -980
Total magnetic moment in μB per formula unit: 17.18
DOS(E_F) in states/eV per atom: 4.0567
Crystal system: monoclinic
Final energy in eV/atom: -9.338

Cell: 7.1123 7.1024 8.2440 Å, 90.00 90.00 109.63°
Atoms (fractional coordinates):
Se  0.2500  0.0000  0.6248
Se  0.2500  0.5000  0.3750
Se  0.7500  0.5000  0.1252
Se  0.2500  0.5000  0.8748
Se  0.7500  0.5000  0.6250
Se  0.7500  0.0000  0.3752
Np  0.5011  0.7508  0.6262
Np  0.5000  0.7525  0.1235
Np  0.5000  0.2475  0.8765
Np  0.0011  0.7508  0.3738
Np  0.0000  0.2475  0.1235
Np  0.9989  0.2492  0.6262
Np  0.4989  0.2492  0.3738
Np  0.0000  0.7525  0.8765
As  0.2500  0.0000  0.1258
As  0.7500  0.0000  0.8742